YCd2Os, relaxed, DFT PBE-GGA; total magnetization = 0.000 μB per formula unit; formation energy = 0.2211 eV/atom; space group = Fm-3m (225)
1.0
-2.039 -4.407 0.172
0.961 -2.978 3.716
-3.438 -0.959 3.296
Os Cd Y
1 2 1
Direct
0.500 0.500 0.500 Os
0.250 0.250 0.250 Cd
0.750 0.750 0.750 Cd
0.000 0.000 0.000 Y